Crystalline LuPaTc4 at its relaxed geometry, computed with GGA-PBE.

Its formation energy is -0.1389 eV per atom.

Cell: 7.6025 7.6025 7.6025 Å, 90.00 90.00 90.00°
Last column: nearest neighbours and their distance in Å.
Space group F-43m (No. 216)
Asymmetric unit:
1 Lu 0.0000 0.0000 0.0000 x4  12 Tc 3.15, 4 Pa 3.29
2 Pa 0.2500 0.2500 0.2500 x4  12 Tc 3.15, 4 Lu 3.29
3 Tc 0.1254 0.1254 0.6254 x16  6 Tc 2.68-2.70


Crystalline LuPaTc at its relaxed geometry, computed with GGA-PBE.

The calculation puts the excess energy over the best structure of this formula in the dataset at 202 meV per atom. Its formation energy is 0.0233 eV per atom.

Cell: 4.7543 4.7543 3.2565 Å, 90.00 90.00 120.00°
Last column: nearest neighbours and their distance in Å.
Space group P3m1 (No. 156)
Asymmetric unit:
1 Lu 0.0000 0.0000 0.0000 x1  3 Tc 2.97, 3 Pa 3.06, 2 Lu 3.26
2 Pa 0.3333 0.6667 0.5859 x1  3 Tc 2.85, 3 Lu 3.06
3 Tc 0.6667 0.3333 0.3514 x1  3 Pa 2.85, 3 Lu 2.97


Crystalline LuPaTc at its relaxed geometry, computed with GGA-PBE.

The calculation puts the excess energy over the best structure of this formula in the dataset at 0 meV per atom. Its formation energy is -0.1789 eV per atom.

Cell: 3.4343 3.4343 11.2615 Å, 90.00 90.00 90.00°
Last column: nearest neighbours and their distance in Å.
Space group I4mm (No. 107)
Asymmetric unit:
1 Lu 0.0000 0.0000 0.0000 x2  4 Tc 3.12, 5 Pa 3.34, 4 Lu 3.43
2 Pa 0.0000 0.0000 0.2965 x2  4 Tc 2.79
3 Tc 0.0000 0.0000 0.6745 x2  4 Pa 2.79, 4 Lu 3.12


Crystalline LuPaVTc at its relaxed geometry, computed with GGA-PBE.

Its formation energy is 0.0316 eV per atom.

Cell: 6.8299 6.8299 6.8299 Å, 90.00 90.00 90.00°
Last column: nearest neighbours and their distance in Å.
Space group F-43m (No. 216)
Asymmetric unit:
1 Lu 0.0000 0.0000 0.0000 x4  4 V 2.96, 4 Tc 2.96
2 Pa 0.0000 0.0000 0.5000 x4  4 Tc 2.96, 4 V 2.96
3 V 0.2500 0.2500 0.7500 x4  4 Pa 2.96, 4 Lu 2.96
4 Tc 0.2500 0.2500 0.2500 x4  4 Pa 2.96, 4 Lu 2.96


Crystalline LuPaZnTc at its relaxed geometry, computed with GGA-PBE.

Its formation energy is -0.1360 eV per atom.

Cell: 6.9087 6.9087 6.9087 Å, 90.00 90.00 90.00°
Last column: nearest neighbours and their distance in Å.
Space group F-43m (No. 216)
Asymmetric unit:
1 Lu 0.0000 0.0000 0.0000 x4  4 Zn 2.99, 4 Tc 2.99
2 Pa 0.0000 0.0000 0.5000 x4  4 Tc 2.99, 4 Zn 2.99
3 Zn 0.2500 0.2500 0.7500 x4  4 Pa 2.99, 4 Lu 2.99
4 Tc 0.2500 0.2500 0.2500 x4  4 Pa 2.99, 4 Lu 2.99


Crystalline Lu2PaTe at its relaxed geometry, computed with GGA-PBE.

As for the formation energy from raw total energies: 89 meV per atom. The calculation puts the excess energy over the best structure of this formula in the dataset at 459 meV per atom.

Cell: 3.3682 3.3682 33.9295 Å, 90.00 90.00 120.00°
Last column: nearest neighbours and their distance in Å.
Space group R-3m (No. 166, hexagonal axes)
Asymmetric unit:
1 Lu 0.0000 0.0000 0.0951 x6  3 Te 3.11, 1 Pa 3.23, 6 Lu 3.37
2 Pa 0.0000 0.0000 0.0000 x3  2 Lu 3.23, 6 Pa 3.37
3 Te 0.0000 0.0000 0.5000 x3  6 Lu 3.11, 6 Te 3.37


Crystalline Lu2PaTe at its relaxed geometry, computed with GGA-PBE.

As for the formation energy from raw total energies: -370 meV per atom. The calculation puts the excess energy over the best structure of this formula in the dataset at 0 meV per atom.

Cell: 3.6913 3.6913 7.9221 Å, 90.00 90.00 90.00°
Last column: nearest neighbours and their distance in Å.
Space group P4/mmm (No. 123)
Asymmetric unit:
1 Lu 0.0000 0.0000 0.2315 x2  4 Te 3.19, 4 Pa 3.37
2 Pa 0.5000 0.5000 0.5000 x1  8 Lu 3.37, 4 Pa 3.69
3 Te 0.5000 0.5000 0.0000 x1  8 Lu 3.19


Crystalline LuTh2Pa at its relaxed geometry, computed with GGA-PBE.

The calculation puts the excess energy over the best structure of this formula in the dataset at 107 meV per atom. Its formation energy is 0.2563 eV per atom.

Cell: 7.7907 7.7907 7.7907 Å, 90.00 90.00 90.00°
Last column: nearest neighbours and their distance in Å.
Space group Fm-3m (No. 225)
Asymmetric unit:
1 Lu 0.0000 0.0000 0.0000 x4  8 Th 3.37
2 Th 0.2500 0.2500 0.2500 x8  4 Pa 3.37, 4 Lu 3.37
3 Pa 0.0000 0.0000 0.5000 x4  8 Th 3.37


Looking at DOS(E_F) for the records above, in order, we have 51.73, 4.31, 5.82, 24.81, 10.32, 15.84, 5.24, 37.94 states/eV/cell.
Looking at total moment for the records above, in order, we have 0.0, 0.0, 0.0, 7.3, 0.0, 0.0, 0.0, 0.0 μB/cell.